(1)
{
  "formula": "Li2VSiN4",
  "functional": "PBE",
  "state": "relaxed",
  "cell": [[-2.3052, 2.3052, 4.2497], [2.3052, -2.3052, 4.2497], [2.3052, 2.3052, -4.2497]],
  "species": ["Li", "Li", "V", "Si", "N", "N", "N", "N"],
  "frac_coords": [[0.0000, 0.0000, 0.0000], [0.7500, 0.2500, 0.5000], [0.2500, 0.7500, 0.5000], [0.5000, 0.5000, 0.0000], [0.1960, 0.1354, 0.5777], [0.3817, 0.8040, 0.9394], [0.5577, 0.6183, 0.4223], [0.8646, 0.4423, 0.0606]],
  "sg": "No. 82",
  "total_energy_ev_per_atom": -7.1356,
  "m_tot_mub_per_cell": 1.03
}


(2)
{
  "formula": "LiY2SiN",
  "functional": "PBE",
  "state": "relaxed",
  "cell": [[4.7408, 0.0000, 0.0000], [0.0000, 4.7408, 0.0000], [0.0000, 0.0000, 4.0486]],
  "species": ["Li", "Y", "Y", "Si", "N"],
  "frac_coords": [[0.0000, 0.0000, 0.0000], [0.0000, 0.5000, 0.5000], [0.5000, 0.0000, 0.5000], [0.5000, 0.5000, 0.0000], [0.0000, 0.0000, 0.5000]],
  "sg": "No. 123",
  "total_energy_ev_per_atom": -6.6755,
  "m_tot_mub_per_cell": 0.00
}


(3)
{
  "formula": "LiYSi2N",
  "functional": "PBE",
  "state": "relaxed",
  "cell": [[5.3412, 0.0000, 0.0000], [0.0000, 5.3412, 0.0000], [0.0000, 0.0000, 6.6301]],
  "species": ["Li", "Y", "Si", "Si", "N"],
  "frac_coords": [[0.0000, 0.0000, 0.0000], [0.0000, 0.0000, 0.5000], [0.0000, 0.5000, 0.5000], [0.5000, 0.0000, 0.5000], [0.5000, 0.5000, 0.0000]],
  "sg": "No. 123",
  "total_energy_ev_per_atom": -3.5515,
  "m_tot_mub_per_cell": 2.51
}


(4)
{
  "formula": "LiZnSi2N",
  "functional": "PBE",
  "state": "relaxed",
  "cell": [[4.6313, 0.0000, 0.0000], [0.0000, 4.6313, 0.0000], [0.0000, 0.0000, 3.3924]],
  "species": ["Li", "Zn", "Si", "Si", "N"],
  "frac_coords": [[0.0000, 0.0000, 0.0000], [0.5000, 0.5000, 0.5000], [0.0000, 0.5000, 0.0000], [0.5000, 0.0000, 0.0000], [0.0000, 0.0000, 0.5000]],
  "sg": "No. 123",
  "total_energy_ev_per_atom": -3.3701,
  "m_tot_mub_per_cell": 0.00
}